Record 1
Computed, not measured: CdSi4 after structural relaxation at the PBE level of DFT.

The crystal system is tetragonal. For the magnetization, the calculation gives 0.000 μB per formula unit. The formation energy (no corrections) is 0.4407 eV/atom. Its density of states at the Fermi level is 3.1 states/eV/cell. For the density, the calculation gives 4.43 Mg/m³. The value obtained for the uncorrected energy is -4.08 eV/atom.

It has space group I4/m (No. 87), with a = 7.4592 Å, b = 7.4592 Å, c = 3.0256 Å, α = 90.00°, β = 90.00° and γ = 90.00°. The distinct sites, in fractional coordinates, are Cd at (0.0000, 0.0000, 0.0000) and Si at (0.1359, 0.3527, 0.5000).

---

Record 2
Computed, not measured: AlZnCu2 after structural relaxation at the PBE level of DFT.

The crystal system is tetragonal. For the magnetization, the calculation gives 0.000 μB per formula unit. Its density of states at the Fermi level is 5.8 states/eV/cell. For the density, the calculation gives 6.10 Mg/m³. The value obtained for the uncorrected energy is -3.10 eV/atom.

It has space group I-42d (No. 122), with a = 6.8777 Å, b = 6.8777 Å, c = 5.0555 Å, α = 90.00°, β = 90.00° and γ = 90.00°. The distinct sites, in fractional coordinates, are Al at (0.0000, 0.0000, 0.0000), Zn at (0.0000, 0.0000, 0.5000) and Cu at (0.2483, 0.2500, 0.6250).